[1]
The following is a PBE calculation of a relaxed Li3YF6 crystal, from Alexandria.

For the spin magnetization, the calculation gives 0.0 Bohr magnetons per cell. As for the uncorrected formation energy: -3.07 eV/atom. The space group is Fm-3m (225).

Cell lengths 5.8556, 5.8556, 5.8556 Å; angles 60.00, 60.00, 60.00 degrees
Element x y z (fractional)
Li  0.0000  0.0000  0.0000
Li  0.2500  0.2500  0.2500
Li  0.7500  0.7500  0.7500
Y  0.5000  0.5000  0.5000
F  0.2400  0.2400  0.7600
F  0.2400  0.7600  0.2400
F  0.2400  0.7600  0.7600
F  0.7600  0.2400  0.2400
F  0.7600  0.2400  0.7600
F  0.7600  0.7600  0.2400



[2]
The following is a PBE calculation of a relaxed LiYF2 crystal, from Alexandria.

For the spin magnetization, the calculation gives 0.0 Bohr magnetons per cell. As for the uncorrected formation energy: -2.35 eV/atom. The space group is I4_1/amd (141). As for the offset from the most stable computed form: 0.245 eV/atom.

Cell lengths 7.9192, 7.9192, 7.9192 Å; angles 130.24, 130.24, 73.02 degrees
Element x y z (fractional)
Li  0.0000  0.0000  0.0000
Li  0.0000  0.0000  0.5000
Li  0.0000  0.5000  0.0000
Li  0.5000  0.0000  0.5000
Y  0.0000  0.5000  0.5000
Y  0.5000  0.0000  0.0000
Y  0.5000  0.5000  0.0000
Y  0.5000  0.5000  0.5000
F  0.2129  0.6860  0.5269
F  0.3140  0.3409  0.5269
F  0.3140  0.7871  0.9731
F  0.3409  0.3140  0.0269
F  0.6591  0.6860  0.9731
F  0.6860  0.2129  0.0269
F  0.6860  0.6591  0.4731
F  0.7871  0.3140  0.4731



[3]
The following is a PBE calculation of a relaxed LiY2F6 crystal, from Alexandria.

For the spin magnetization, the calculation gives 1.3 Bohr magnetons per cell. As for the uncorrected formation energy: -3.51 eV/atom. The space group is P4_2/mnm (136).

Cell lengths 5.0489, 5.0489, 10.5900 Å; angles 90.00, 90.00, 90.00 degrees
Element x y z (fractional)
Li  0.0000  0.0000  0.0000
Li  0.5000  0.5000  0.5000
Y  0.0000  0.0000  0.3315
Y  0.0000  0.0000  0.6685
Y  0.5000  0.5000  0.1685
Y  0.5000  0.5000  0.8315
F  0.1876  0.1876  0.1552
F  0.1876  0.1876  0.8448
F  0.1959  0.1959  0.5000
F  0.3041  0.6959  0.0000
F  0.3124  0.6876  0.3448
F  0.3124  0.6876  0.6552
F  0.6876  0.3124  0.3448
F  0.6876  0.3124  0.6552
F  0.6959  0.3041  0.0000
F  0.8041  0.8041  0.5000
F  0.8124  0.8124  0.1552
F  0.8124  0.8124  0.8448